A relaxed Ba5Rh3 crystal, computed with PBE.

Unit cell a=9.1715 b=9.1715 c=7.3556 alpha=90.00 beta=90.00 gamma=120.00
Atoms (fractional coordinates):
Ba: 0.0000 0.2659 0.2500
Ba: 0.0000 0.7341 0.7500
Ba: 0.2659 0.0000 0.2500
Ba: 0.2659 0.2659 0.7500
Ba: 0.3333 0.6667 0.0000
Ba: 0.3333 0.6667 0.5000
Ba: 0.6667 0.3333 0.0000
Ba: 0.6667 0.3333 0.5000
Ba: 0.7341 0.0000 0.7500
Ba: 0.7341 0.7341 0.2500
Rh: 0.0000 0.3858 0.7500
Rh: 0.0000 0.6142 0.2500
Rh: 0.3858 0.0000 0.7500
Rh: 0.3858 0.3858 0.2500
Rh: 0.6142 0.0000 0.2500
Rh: 0.6142 0.6142 0.7500

Properties
The magnetic moment is 0.00 μB/atom. The value obtained for the final energy is -4.060 eV/atom. The calculation puts the energy relative to the elements at -0.102 eV/atom.